Entry 1:
CuTcAgBi: relaxed, PBE.

Cell and atoms, written as POSCAR:
```
CuTcAgBi
1.0
0.0000 3.2790 3.2790
3.2790 0.0000 3.2790
3.2790 3.2790 0.0000
Cu Bi Tc Ag
1 1 1 1
Direct
0.2500 0.2500 0.2500
0.0000 0.0000 0.0000
0.7500 0.7500 0.7500
0.5000 0.5000 0.5000
```

Properties
total energy = -4.69 eV per atom
excess energy over the best structure of this formula in the dataset = 0 meV per atom



Entry 2:
HoMg: relaxed, PBE.

Cell and atoms, written as POSCAR:
```
HoMg
1.0
-13.7743 -10.8186 -3.3319
-0.3799 -1.5482 6.5950
-3.4083 4.1032 0.7669
Ho Mg
12 12
Direct
0.2809 0.7587 0.5000
0.0065 0.4947 0.0000
0.5064 0.2553 0.0000
0.9379 0.2553 0.5000
0.7808 0.9913 0.5000
0.4505 0.0032 0.5000
0.1636 0.7587 0.0000
0.4380 0.4947 0.5000
0.9940 0.0031 0.0000
0.4940 0.7468 0.0000
0.9504 0.7469 0.5000
0.6635 0.9913 0.0000
0.1699 0.2542 0.0000
0.1140 0.5005 0.5000
0.8349 0.7363 0.0000
0.6139 0.2496 0.5000
0.3305 0.5004 0.0000
0.1095 0.0137 0.5000
0.8305 0.2495 0.0000
0.6095 0.7363 0.5000
0.6699 0.4957 0.0000
0.3349 0.0137 0.0000
0.2746 0.2543 0.5000
0.7745 0.4958 0.5000
```

Properties
total energy = -3.03 eV per atom



Entry 3:
InIr7: relaxed, PBE.

Cell and atoms, written as POSCAR:
```
InIr7
1.0
-2.3176 -0.6009 -1.3530
2.0264 -0.4436 -3.2742
4.5418 -34.3127 7.4593
Ir In
14 2
Direct
0.0000 0.0000 0.5192
0.5000 0.5000 0.2498
0.0000 0.0000 0.7502
0.5000 0.5000 0.3261
0.0000 0.0000 0.2878
0.0000 0.0000 0.5965
0.5000 0.5000 0.7122
0.5000 0.5000 0.4035
0.5000 0.5000 0.5580
0.0000 0.0000 0.6739
0.0000 0.0000 0.4420
0.5000 0.5000 0.6346
0.0000 0.0000 0.3654
0.5000 0.5000 0.4808
0.5000 0.5000 0.7968
0.0000 0.0000 0.2033
```

Properties
total energy = -8.02 eV per atom



Entry 4:
PrCuTe3Pb: relaxed, PBE.

Cell and atoms, written as POSCAR:
```
PrCuTe3Pb
1.0
-2.8506 1.5136 -2.9225
2.8502 -1.6696 -6.8882
-5.5908 -10.2153 0.1626
Pb Te Pr Cu
2 6 2 2
Direct
0.2389 0.5222 0.2500
0.7611 0.4778 0.7500
0.3531 0.2938 0.5730
0.6469 0.7062 0.4270
0.9174 0.1652 0.2500
0.0826 0.8348 0.7500
0.3531 0.2938 0.9270
0.6469 0.7062 0.0730
0.0000 0.0000 0.5000
0.0000 0.0000 0.0000
0.4689 0.0622 0.7500
0.5311 0.9378 0.2500
```

Properties
total energy = -4.33 eV per atom



Entry 5:
BaCdSO: relaxed, PBE.

Cell and atoms, written as POSCAR:
```
BaCdSO
1.0
4.2390 0.0000 0.0000
0.0000 4.2390 0.0000
0.0000 0.0000 11.3417
S O Cd Ba
2 2 2 2
Direct
0.2500 0.2500 0.1172
0.7500 0.7500 0.8828
0.7500 0.2500 0.5000
0.2500 0.7500 0.5000
0.2500 0.2500 0.8941
0.7500 0.7500 0.1059
0.7500 0.7500 0.6110
0.2500 0.2500 0.3890
```

Properties
total energy = -4.17 eV per atom



Entry 6:
KCdF3: relaxed, PBE.

Cell and atoms, written as POSCAR:
```
KCdF3
1.0
6.0190 0.0000 0.0000
0.0000 6.0612 0.0000
0.0000 0.0000 8.5541
F K Cd
12 4 4
Direct
0.3049 0.6971 0.9553
0.3049 0.6971 0.5447
0.1951 0.1971 0.9553
0.6951 0.3029 0.0447
0.5881 0.0260 0.7500
0.4119 0.9740 0.2500
0.8049 0.8029 0.4553
0.6951 0.3029 0.4553
0.1951 0.1971 0.5447
0.8049 0.8029 0.0447
0.9119 0.5260 0.7500
0.0881 0.4740 0.2500
0.9910 0.0486 0.2500
0.0090 0.9514 0.7500
0.5090 0.5486 0.2500
0.4910 0.4514 0.7500
0.0000 0.5000 0.5000
0.5000 0.0000 0.0000
0.0000 0.5000 0.0000
0.5000 0.0000 0.5000
```

Properties
total energy = -3.96 eV per atom



Entry 7:
BaTbTe2AuSe: relaxed, PBE.

Cell and atoms, written as POSCAR:
```
BaTbTe2AuSe
1.0
7.2440 1.7232 2.5784
-7.4576 -1.8300 1.7689
2.5769 -10.6313 -0.1345
Te Au Tb Ba Se
4 2 2 2 2
Direct
0.1430 0.8570 0.9493
0.8570 0.1430 0.4493
0.8570 0.1430 0.0507
0.1430 0.8570 0.5507
0.9692 0.0308 0.2500
0.0308 0.9692 0.7500
0.5000 0.5000 0.0000
0.5000 0.5000 0.5000
0.2401 0.7599 0.2500
0.7599 0.2401 0.7500
0.4256 0.5744 0.7500
0.5744 0.4256 0.2500
```

Properties
total energy = -4.59 eV per atom



Entry 8:
HoAg2O4: relaxed, PBE.

Cell and atoms, written as POSCAR:
```
HoAg2O4
1.0
4.1130 -5.0291 0.0000
4.1130 5.0291 0.0000
-4.0872 0.0000 4.2039
Ag O Ho
4 8 2
Direct
0.5000 0.5000 0.5000
0.5000 0.0000 0.5000
0.5000 0.5000 0.0000
0.0000 0.5000 0.0000
0.2471 0.1110 0.5810
0.1110 0.2471 0.0810
0.8890 0.7529 0.9190
0.7529 0.8890 0.4190
0.8455 0.4786 0.2337
0.4786 0.8455 0.7337
0.1545 0.5214 0.7663
0.5214 0.1545 0.2663
0.1249 0.8751 0.7500
0.8751 0.1249 0.2500
```

Properties
total energy = -5.60 eV per atom



Entry 9:
PrGe2S: relaxed, PBE.

Cell and atoms, written as POSCAR:
```
PrGe2S
1.0
-2.6047 2.4297 -2.0776
-1.3944 -4.4192 -3.4200
-6.0925 -2.0937 5.1896
S Ge Pr
2 4 2
Direct
0.5000 0.6601 0.9110
0.0000 0.3399 0.4110
0.5000 0.8958 0.3962
0.0000 0.7405 0.5494
0.5000 0.2595 0.0494
0.0000 0.1042 0.8962
0.0000 0.6532 0.1434
0.5000 0.3468 0.6434
```

Properties
total energy = -5.13 eV per atom
excess energy over the best structure of this formula in the dataset = 109 meV per atom



Entry 10:
YBeFeGe: relaxed, PBE.

Cell and atoms, written as POSCAR:
```
YBeFeGe
1.0
-1.3069 1.3604 4.0039
-4.0954 -0.9016 1.4159
-0.6215 -2.9458 3.2444
Fe Ge Be Y
1 1 1 1
Direct
0.7500 0.7500 0.7500
0.0000 0.0000 0.0000
0.5000 0.5000 0.5000
0.2500 0.2500 0.2500
```

Properties
total energy = -5.74 eV per atom
excess energy over the best structure of this formula in the dataset = 0 meV per atom



Entry 11:
DyEr4S7: relaxed, PBE.

Cell and atoms, written as POSCAR:
```
DyEr4S7
1.0
0.7904 4.7476 4.5920
-1.5052 2.1642 6.1075
8.9973 -7.0162 1.6689
S Er Dy
7 4 1
Direct
0.3388 0.3388 0.9481
0.0417 0.0417 0.7835
0.2594 0.2594 0.6470
0.5000 0.5000 0.5000
0.9583 0.9583 0.2165
0.7406 0.7406 0.3530
0.6612 0.6612 0.0519
0.6998 0.6998 0.8127
0.8879 0.8879 0.5783
0.1121 0.1121 0.4217
0.3002 0.3002 0.1873
0.0000 0.0000 0.0000
```

Properties
total energy = -6.38 eV per atom



Entry 12:
NbCdCuSb: relaxed, PBE.

Cell and atoms, written as POSCAR:
```
NbCdCuSb
1.0
2.3461 -4.0835 -0.5208
2.2838 -1.9071 3.6875
-1.6506 -3.9550 2.0210
Sb Nb Cd Cu
1 1 1 1
Direct
0.0000 0.0000 0.0000
0.2500 0.2500 0.2500
0.5000 0.5000 0.5000
0.7500 0.7500 0.7500
```

Properties
total energy = -4.34 eV per atom
excess energy over the best structure of this formula in the dataset = 0 meV per atom



Entry 13:
Sm4CoBr5: relaxed, PBE.

Cell and atoms, written as POSCAR:
```
Sm4CoBr5
1.0
9.4437 -1.9916 0.0000
9.4437 1.9916 0.0000
-2.0172 0.0000 8.3351
Co Sm Br
1 4 5
Direct
0.5000 0.5000 0.0000
0.3528 0.3528 0.9165
0.6472 0.6472 0.0835
0.0000 0.0000 0.7896
0.0000 0.0000 0.2104
0.8256 0.8256 0.1585
0.5000 0.5000 0.5000
0.1671 0.1671 0.3427
0.1744 0.1744 0.8415
0.8329 0.8329 0.6573
```

Properties
total energy = -4.78 eV per atom



Entry 14:
TlAsAuO: relaxed, PBE.

Cell and atoms, written as POSCAR:
```
TlAsAuO
1.0
-3.1427 0.4222 -2.7286
-4.7540 -0.1023 5.4597
0.3858 5.7374 0.4434
Au Tl As O
2 2 2 2
Direct
0.0000 0.7884 0.9351
0.0000 0.2116 0.4351
0.5000 0.6761 0.5320
0.5000 0.3239 0.0320
0.0000 0.8762 0.3660
0.0000 0.1238 0.8660
0.5000 0.6157 0.9209
0.5000 0.3843 0.4209
```

Properties
total energy = -3.79 eV per atom
excess energy over the best structure of this formula in the dataset = 75 meV per atom



Entry 15:
Nd4IN2Cl: relaxed, PBE.

Cell and atoms, written as POSCAR:
```
Nd4IN2Cl
1.0
-0.8615 1.3507 -3.3745
2.5154 -2.7420 0.3279
-10.6720 -9.9400 -1.2542
Nd N Cl I
4 2 1 1
Direct
0.0000 0.0000 0.8512
0.0000 0.0000 0.1488
0.3333 0.6667 0.3288
0.3333 0.6667 0.6712
0.6667 0.3333 0.7661
0.6667 0.3333 0.2339
0.3333 0.6667 0.0000
0.0000 0.0000 0.5000
```

Properties
total energy = -6.27 eV per atom



Entry 16:
GdDyInFe2: relaxed, PBE.

Cell and atoms, written as POSCAR:
```
GdDyInFe2
1.0
4.0235 0.0000 0.0000
0.0000 1.8909 6.8423
0.0000 -1.8909 6.8423
Dy Gd Fe In
1 1 2 1
Direct
0.0000 0.3620 0.3620
0.0000 0.6374 0.6374
0.5000 0.7918 0.7918
0.5000 0.2098 0.2098
0.5000 0.9990 0.9990
```

Properties
total energy = -5.92 eV per atom



Entry 17:
CuBiPF: relaxed, PBE.

Cell and atoms, written as POSCAR:
```
CuBiPF
1.0
9.5998 0.0000 0.0000
0.0000 17.8603 0.0000
0.0000 0.0000 3.7878
F Bi P Cu
8 8 8 8
Direct
0.5012 0.4164 0.0000
0.5029 0.1379 0.0000
0.4971 0.8621 0.0000
0.9971 0.6379 0.0000
0.4988 0.5836 0.0000
0.0012 0.0836 0.0000
0.9988 0.9164 0.0000
0.0029 0.3621 0.0000
0.5246 0.2751 0.0000
0.2474 0.4121 0.0000
0.7526 0.5879 0.0000
0.0246 0.2249 0.0000
0.9754 0.7751 0.0000
0.4754 0.7249 0.0000
0.2526 0.9121 0.0000
0.7474 0.0879 0.0000
0.8034 0.4950 0.5000
0.1966 0.5050 0.5000
0.2128 0.2173 0.5000
0.2872 0.7173 0.5000
0.7128 0.2827 0.5000
0.3034 0.0050 0.5000
0.6966 0.9950 0.5000
0.7872 0.7827 0.5000
0.6204 0.8742 0.5000
0.3796 0.1258 0.5000
0.1341 0.0919 0.5000
0.8659 0.9081 0.5000
0.6341 0.4081 0.5000
0.3659 0.5919 0.5000
0.1204 0.6258 0.5000
0.8796 0.3742 0.5000
```

Properties
total energy = -4.27 eV per atom
excess energy over the best structure of this formula in the dataset = 217 meV per atom



Entry 18:
BaMgSiNi: relaxed, PBE.

Cell and atoms, written as POSCAR:
```
BaMgSiNi
1.0
-1.1147 -3.2121 -3.7599
-3.5965 1.1906 -3.3681
1.2744 1.1429 -4.7714
Si Ba Mg Ni
1 1 1 1
Direct
0.0000 0.0000 0.0000
0.2500 0.2500 0.2500
0.7500 0.7500 0.7500
0.5000 0.5000 0.5000
```

Properties
total energy = -3.38 eV per atom
excess energy over the best structure of this formula in the dataset = 12 meV per atom



Entry 19:
Y3Tm3CoTe2: relaxed, PBE.

Cell and atoms, written as POSCAR:
```
Y3Tm3CoTe2
1.0
-1.3330 -6.9912 -4.2975
4.0008 -0.2956 7.2821
-3.4058 -0.4886 1.8513
Co Tm Te Y
1 3 2 3
Direct
0.0000 0.0000 0.0000
0.0000 0.6046 0.0000
0.3954 0.3954 0.0000
0.6046 0.0000 0.0000
0.6667 0.3333 0.5000
0.3333 0.6667 0.5000
0.0000 0.2378 0.5000
0.7622 0.7622 0.5000
0.2378 0.0000 0.5000
```

Properties
total energy = -5.76 eV per atom
excess energy over the best structure of this formula in the dataset = 63 meV per atom



Entry 20:
NaErRe: relaxed, PBE.

Cell and atoms, written as POSCAR:
```
NaErRe
1.0
-1.0974 -2.1794 3.9320
-2.1913 2.2826 3.3768
-4.4242 -0.9661 0.9530
Er Re Na
1 1 1
Direct
0.2500 0.2500 0.2500
0.7500 0.7500 0.7500
0.0000 0.0000 0.0000
```

Properties
total energy = -4.46 eV per atom



Entry 21:
ErSbN2O: relaxed, PBE.

Cell and atoms, written as POSCAR:
```
ErSbN2O
1.0
6.4328 0.0000 0.0000
-3.2164 5.5710 0.0000
0.0000 0.0000 11.9284
N Sb Er O
12 6 6 6
Direct
0.3110 0.0000 0.1633
0.0000 0.6424 0.3394
0.3110 0.3110 0.6633
0.6890 0.6890 0.1633
0.0000 0.3576 0.8394
0.6424 0.6424 0.8394
0.3576 0.0000 0.8394
0.0000 0.6890 0.6633
0.3576 0.3576 0.3394
0.6890 0.0000 0.6633
0.0000 0.3110 0.1633
0.6424 0.0000 0.3394
0.3335 0.0000 0.0009
0.3335 0.3335 0.5009
0.6665 0.6665 0.0009
0.6665 0.0000 0.5009
0.0000 0.6665 0.5009
0.0000 0.3335 0.0009
0.3333 0.6667 0.2382
0.0000 0.0000 0.2657
0.6667 0.3333 0.7382
0.6667 0.3333 0.2382
0.0000 0.0000 0.7657
0.3333 0.6667 0.7382
0.0000 0.0000 0.9735
0.3333 0.6667 0.0238
0.6667 0.3333 0.5238
0.6667 0.3333 0.0238
0.3333 0.6667 0.5238
0.0000 0.0000 0.4735
```

Properties
total energy = -6.90 eV per atom